[1]
Density functional theory data (GGA-PBE) for crystalline SrMgIn3 at its relaxed geometry.

a = 6.173 Å, b = 6.173 Å, c = 6.173 Å
α = 90.00°, β = 90.00°, γ = 90.00°
Element x y z (fractional)
Sr 0.000 0.000 0.000
Mg 0.500 0.500 0.500
In 0.000 0.500 0.000
In 0.000 0.000 0.500
In 0.500 0.000 0.000

[2]
Density functional theory data (GGA-PBE) for crystalline Sr3Mg7In2 at its relaxed geometry.

a = 4.913 Å, b = 5.239 Å, c = 15.765 Å
α = 99.56°, β = 90.00°, γ = 90.00°
Element x y z (fractional)
Sr 0.500 0.500 0.000
Sr 0.500 0.709 0.418
Sr 0.500 0.291 0.582
Mg 0.000 0.375 0.750
Mg 0.000 0.805 0.609
Mg 0.000 0.000 0.000
Mg 0.000 0.625 0.250
Mg 0.500 0.133 0.266
Mg 0.500 0.867 0.734
Mg 0.000 0.195 0.391
In 0.000 0.914 0.827
In 0.000 0.086 0.173

[3]
Density functional theory data (GGA-PBE) for crystalline Sr3MgIn2 at its relaxed geometry.

a = 4.115 Å, b = 4.115 Å, c = 12.291 Å
α = 90.00°, β = 90.00°, γ = 90.00°
Element x y z (fractional)
Sr 0.000 0.000 0.000
Sr 0.000 0.000 0.676
Sr 0.000 0.000 0.324
Mg 0.500 0.500 0.500
In 0.500 0.500 0.837
In 0.500 0.500 0.163

[4]
Density functional theory data (GGA-PBE) for crystalline SrMg5In7 at its relaxed geometry.

a = 6.246 Å, b = 7.925 Å, c = 7.925 Å
α = 82.29°, β = 66.79°, γ = 66.79°
Element x y z (fractional)
Sr 0.998 0.002 0.002
Mg 0.499 0.001 0.498
Mg 0.002 0.001 0.498
Mg 0.499 0.498 0.001
Mg 0.002 0.498 0.001
Mg 0.733 0.767 0.767
In 0.647 0.353 0.353
In 0.343 0.657 0.657
In 0.996 0.350 0.658
In 0.996 0.658 0.350
In 0.275 0.225 0.225
In 0.506 0.795 0.193
In 0.506 0.193 0.795

[5]
Density functional theory data (GGA-PBE) for crystalline Sr2Mg2In at its relaxed geometry.

a = 8.062 Å, b = 8.062 Å, c = 5.227 Å
α = 90.00°, β = 90.00°, γ = 90.00°
Element x y z (fractional)
Sr 0.179 0.679 0.500
Sr 0.679 0.821 0.500
Sr 0.821 0.321 0.500
Sr 0.321 0.179 0.500
Mg 0.371 0.871 0.000
Mg 0.871 0.629 0.000
Mg 0.629 0.129 0.000
Mg 0.129 0.371 0.000
In 0.000 0.000 0.000
In 0.500 0.500 0.000

[6]
Density functional theory data (GGA-PBE) for crystalline SrMg5In2 at its relaxed geometry.

a = 4.351 Å, b = 7.466 Å, c = 7.466 Å
α = 71.41°, β = 73.06°, γ = 73.06°
Element x y z (fractional)
Sr 0.000 0.000 0.000
Mg 0.000 0.500 0.500
Mg 0.643 0.544 0.170
Mg 0.357 0.456 0.830
Mg 0.357 0.830 0.456
Mg 0.643 0.170 0.544
In 0.739 0.761 0.761
In 0.261 0.239 0.239

[7]
Density functional theory data (GGA-PBE) for crystalline Sr4Mg2In at its relaxed geometry.

a = 7.159 Å, b = 7.159 Å, c = 7.159 Å
α = 109.07°, β = 109.67°, γ = 109.67°
Element x y z (fractional)
Sr 0.500 0.000 0.000
Sr 0.500 0.500 0.500
Sr 0.000 0.000 0.500
Sr 0.000 0.500 0.000
Mg 0.500 0.500 0.000
Mg 0.500 0.000 0.500
In 0.000 0.000 0.000

[8]
Density functional theory data (GGA-PBE) for crystalline Sr4MgIn2 at its relaxed geometry.

a = 5.764 Å, b = 5.764 Å, c = 9.949 Å
α = 73.16°, β = 73.16°, γ = 60.00°
Element x y z (fractional)
Sr 0.873 0.873 0.381
Sr 0.127 0.127 0.619
Sr 0.622 0.622 0.135
Sr 0.378 0.378 0.865
Mg 0.000 0.000 0.000
In 0.746 0.746 0.763
In 0.254 0.254 0.237

[9]
Density functional theory data (GGA-PBE) for crystalline Sr3MgIn at its relaxed geometry.

a = 5.859 Å, b = 5.859 Å, c = 11.617 Å
α = 90.00°, β = 75.39°, γ = 90.00°
Element x y z (fractional)
Sr 0.753 0.250 0.143
Sr 0.396 0.250 0.857
Sr 0.575 0.250 0.499
Sr 0.253 0.750 0.143
Sr 0.895 0.750 0.857
Sr 0.074 0.750 0.501
Mg 0.484 0.750 0.680
Mg 0.164 0.250 0.320
In 0.665 0.750 0.318
In 0.983 0.250 0.682

[10]
Density functional theory data (GGA-PBE) for crystalline SrMg6In12 at its relaxed geometry.

a = 8.389 Å, b = 8.389 Å, c = 8.389 Å
α = 104.73°, β = 104.73°, γ = 104.73°
Element x y z (fractional)
Sr 0.000 0.000 0.000
Mg 0.707 0.304 0.304
Mg 0.304 0.304 0.707
Mg 0.304 0.707 0.304
Mg 0.696 0.696 0.293
Mg 0.293 0.696 0.696
Mg 0.696 0.293 0.696
In 0.889 0.111 0.500
In 0.875 0.629 0.629
In 0.629 0.629 0.875
In 0.371 0.125 0.371
In 0.371 0.371 0.125
In 0.125 0.371 0.371
In 0.111 0.500 0.889
In 0.500 0.889 0.111
In 0.111 0.889 0.500
In 0.889 0.500 0.111
In 0.500 0.111 0.889
In 0.629 0.875 0.629

[11]
Density functional theory data (GGA-PBE) for crystalline SrMgIn at its relaxed geometry.

a = 4.814 Å, b = 4.814 Å, c = 8.164 Å
α = 90.00°, β = 90.00°, γ = 90.00°
Element x y z (fractional)
Sr 0.750 0.750 0.337
Sr 0.250 0.250 0.663
Mg 0.250 0.750 0.000
Mg 0.750 0.250 0.000
In 0.250 0.250 0.225
In 0.750 0.750 0.775

[12]
Density functional theory data (GGA-PBE) for crystalline Sr16Mg12In at its relaxed geometry.

a = 10.925 Å, b = 10.925 Å, c = 12.697 Å
α = 112.00°, β = 112.00°, γ = 106.59°
Element x y z (fractional)
Sr 0.392 0.392 0.361
Sr 0.008 0.008 0.014
Sr 0.994 0.994 0.710
Sr 0.248 0.248 0.622
Sr 0.647 0.415 0.998
Sr 0.581 0.237 0.579
Sr 0.979 0.741 0.369
Sr 0.007 0.633 0.006
Sr 0.751 0.365 0.346
Sr 0.390 0.994 0.702
Sr 0.994 0.390 0.702
Sr 0.365 0.751 0.346
Sr 0.633 0.007 0.006
Sr 0.741 0.979 0.369
Sr 0.237 0.581 0.579
Sr 0.415 0.647 0.998
Mg 0.819 0.819 0.124
Mg 0.614 0.614 0.801
Mg 0.371 0.188 0.031
Mg 0.819 0.631 0.677
Mg 0.189 0.001 0.313
Mg 0.388 0.001 0.181
Mg 0.194 0.816 0.852
Mg 0.816 0.194 0.852
Mg 0.001 0.388 0.181
Mg 0.001 0.189 0.313
Mg 0.631 0.819 0.677
Mg 0.188 0.371 0.031
In 0.585 0.585 0.256

[13]
Density functional theory data (GGA-PBE) for crystalline SrMg4In6 at its relaxed geometry.

a = 7.680 Å, b = 7.680 Å, c = 7.680 Å
α = 87.22°, β = 121.62°, γ = 121.62°
Element x y z (fractional)
Sr 0.000 0.000 0.000
Mg 0.000 0.255 0.566
Mg 0.690 0.434 0.434
Mg 0.000 0.566 0.255
Mg 0.310 0.745 0.745
In 0.000 0.904 0.466
In 0.000 0.466 0.904
In 0.562 0.096 0.096
In 0.500 0.000 0.500
In 0.438 0.534 0.534
In 0.500 0.500 0.000

[14]
Density functional theory data (GGA-PBE) for crystalline Sr6Mg3In at its relaxed geometry.

a = 6.041 Å, b = 10.326 Å, c = 13.400 Å
α = 109.73°, β = 90.00°, γ = 90.00°
Element x y z (fractional)
Sr 0.250 0.487 0.089
Sr 0.750 0.513 0.911
Sr 0.250 0.141 0.172
Sr 0.750 0.859 0.828
Sr 0.250 0.650 0.660
Sr 0.750 0.350 0.340
Sr 0.250 0.235 0.502
Sr 0.750 0.765 0.498
Sr 0.250 0.852 0.325
Sr 0.750 0.148 0.675
Sr 0.250 0.110 0.870
Sr 0.750 0.890 0.130
Mg 0.250 0.540 0.372
Mg 0.750 0.460 0.628
Mg 0.250 0.397 0.779
Mg 0.750 0.603 0.221
Mg 0.250 0.761 0.962
Mg 0.750 0.239 0.038
In 0.250 0.946 0.606
In 0.750 0.054 0.394

[15]
Density functional theory data (GGA-PBE) for crystalline SrMgIn11 at its relaxed geometry.

a = 6.346 Å, b = 8.037 Å, c = 8.311 Å
α = 81.88°, β = 67.56°, γ = 68.29°
Element x y z (fractional)
Sr 0.000 0.000 0.000
Mg 0.500 0.500 0.000
In 0.295 0.215 0.211
In 0.705 0.785 0.789
In 0.494 0.785 0.211
In 0.506 0.215 0.789
In 0.360 0.640 0.650
In 0.640 0.360 0.350
In 0.990 0.360 0.650
In 0.010 0.640 0.350
In 0.000 0.500 0.000
In 0.500 0.000 0.500
In 0.000 0.000 0.500

[16]
Density functional theory data (GGA-PBE) for crystalline SrMg3In at its relaxed geometry.

a = 6.328 Å, b = 6.328 Å, c = 6.328 Å
α = 90.00°, β = 90.00°, γ = 90.00°
Element x y z (fractional)
Sr 0.000 0.000 0.000
Mg 0.000 0.500 0.000
Mg 0.000 0.000 0.500
Mg 0.500 0.000 0.000
In 0.500 0.500 0.500

[17]
Density functional theory data (GGA-PBE) for crystalline Sr2MgIn at its relaxed geometry.

a = 7.886 Å, b = 7.886 Å, c = 7.886 Å
α = 131.53°, β = 56.68°, γ = 152.42°
Element x y z (fractional)
Sr 0.741 0.000 0.741
Sr 0.259 0.000 0.259
Mg 0.000 0.000 0.000
In 0.500 0.000 0.500

[18]
Density functional theory data (GGA-PBE) for crystalline SrMg3In at its relaxed geometry.

a = 5.499 Å, b = 5.499 Å, c = 5.499 Å
α = 90.00°, β = 90.00°, γ = 90.00°
Element x y z (fractional)
Sr 0.500 0.500 0.500
Mg 0.000 0.500 0.000
Mg 0.000 0.000 0.500
Mg 0.500 0.000 0.000
In 0.000 0.000 0.000

[19]
Density functional theory data (GGA-PBE) for crystalline SrMgIn at its relaxed geometry.

a = 5.479 Å, b = 5.479 Å, c = 5.479 Å
α = 60.00°, β = 60.00°, γ = 60.00°
Each line ends with the local moment (μB).
Element x y z (fractional)
In 0.000 0.000 0.000  0.05
Mg 0.500 0.500 0.500  0.01
Sr 0.750 0.750 0.750  0.03

[20]
Density functional theory data (GGA-PBE) for crystalline Sr2MgIn at its relaxed geometry.

a = 11.194 Å, b = 11.194 Å, c = 11.194 Å
α = 20.70°, β = 20.70°, γ = 20.70°
Element x y z (fractional)
In 0.250 0.250 0.250
Mg 0.750 0.750 0.750
Sr 0.996 0.996 0.996
Sr 0.504 0.504 0.504

no.,E_form (meV per atom)
1,753
2,77
3,-315
4,-153
5,-118
6,-162
7,-84
8,-258
9,-218
10,-40
11,-331
12,-27
13,-41
14,-101
15,-76
16,950
17,368
18,146
19,286
20,-54